1.
{"formula": "Tb3Er4Ir4", "functional": "PBE", "state": "relaxed", "cell": [[-1.129, 2.522, 2.675], [-5.216, -5.933, 3.391], [9.018, -0.718, 1.717]], "species": ["Ir", "Tb", "Er", "Er", "Ir", "Er", "Er", "Ir", "Ir", "Tb", "Tb"], "frac_coords": [[0.753, 0.253, 0.506], [0.899, 0.899, 0.798], [0.333, 0.523, 0.665], [0.667, 0.858, 0.335], [0.500, 0.787, 0.000], [0.667, 0.477, 0.335], [0.333, 0.142, 0.665], [0.247, 0.747, 0.494], [0.500, 0.213, 0.000], [0.000, 0.500, 0.000], [0.101, 0.101, 0.202]], "e_form_mev_per_atom": -703}

***

2.
{"formula": "La2CePaAs4", "functional": "PBE", "state": "relaxed", "cell": [[-2.973, 2.512, -1.709], [2.656, -1.425, -6.715], [-5.191, -4.991, 1.692]], "species": ["Pa", "As", "La", "As", "As", "As", "La", "Ce"], "frac_coords": [[0.000, 0.000, 0.000], [0.000, 0.752, 0.235], [0.000, 0.500, 0.500], [0.000, 0.248, 0.765], [0.500, 0.238, 0.232], [0.500, 0.762, 0.768], [0.500, 0.000, 0.500], [0.500, 0.500, 0.000]], "e_form_mev_per_atom": -1403}

***

3.
{"formula": "K2AcSbO6", "functional": "PBE", "state": "relaxed", "cell": [[6.298, 0.000, -0.019], [0.000, 6.297, 0.000], [0.031, 0.000, 8.907]], "species": ["Sb", "O", "O", "O", "O", "K", "Ac", "O", "O", "K", "O", "O", "O", "Sb", "Ac", "O", "K", "O", "O", "K"], "frac_coords": [[0.000, 0.500, 0.000], [0.015, 0.500, 0.776], [0.485, 0.000, 0.724], [0.716, 0.232, 0.507], [0.768, 0.283, 0.993], [0.500, 0.499, 0.250], [0.500, 0.000, 0.000], [0.732, 0.783, 0.507], [0.216, 0.268, 0.007], [0.500, 0.501, 0.750], [0.515, 0.000, 0.276], [0.284, 0.768, 0.493], [0.985, 0.500, 0.224], [0.500, 0.000, 0.500], [0.000, 0.500, 0.500], [0.232, 0.717, 0.007], [0.000, 0.001, 0.750], [0.268, 0.217, 0.493], [0.784, 0.732, 0.993], [0.000, 0.999, 0.250]], "e_form_raw_mev_per_atom": -1779}

***

4.
{"formula": "Cr2SiAg", "functional": "PBE", "state": "relaxed", "cell": [[-1.000, -1.946, -4.102], [-0.924, -4.519, 0.576], [-1.621, 3.806, 2.120]], "species": ["Cr", "Si", "Cr", "Ag"], "frac_coords": [[0.500, 0.500, 0.000], [0.750, 0.250, 0.500], [0.000, 0.000, 0.000], [0.250, 0.750, 0.500]], "e_form_raw_mev_per_atom": 399}

***

no.,total DFT energy (no corrections) (eV/atom)
1,-6.85
2,-6.89
3,-5.80
4,-6.48